1.
# Ac2DyErTe6 (PBE-GGA, optimized geometry)
data_Ac2DyErTe6
_chemical_formula_sum 'Ac2 Dy1 Er1 Te6'
_space_group_name_H-M_alt 'P 1'
_space_group_IT_number 1
_space_group_name_Hall 'P 1'
_cell_length_a 8.418
_cell_length_b 8.418
_cell_length_c 8.418
_cell_angle_alpha 57.37
_cell_angle_beta 57.37
_cell_angle_gamma 57.37
loop_
_atom_site_label
_atom_site_type_symbol
_atom_site_fract_x
_atom_site_fract_y
_atom_site_fract_z
Ac1 Ac 0.000 0.000 0.000
Ac2 Ac 0.500 0.500 0.500
Dy1 Dy 0.298 0.298 0.298
Er1 Er 0.799 0.799 0.799
Te1 Te 0.066 0.434 0.666
Te2 Te 0.165 0.932 0.568
Te3 Te 0.434 0.666 0.066
Te4 Te 0.568 0.165 0.932
Te5 Te 0.666 0.066 0.434
Te6 Te 0.932 0.568 0.165
# - SG = R3 (146)
# - formation energy (no corrections) (eV/atom) = -1.4380



2.
# Ac3Dy3ErTe8 (PBE-GGA, optimized geometry)
data_Ac3Dy3ErTe8
_chemical_formula_sum 'Ac3 Dy3 Er1 Te8'
_space_group_name_H-M_alt 'P 1'
_space_group_IT_number 1
_space_group_name_Hall 'P 1'
_cell_length_a 9.149
_cell_length_b 9.149
_cell_length_c 9.149
_cell_angle_alpha 58.35
_cell_angle_beta 58.35
_cell_angle_gamma 58.35
loop_
_atom_site_label
_atom_site_type_symbol
_atom_site_fract_x
_atom_site_fract_y
_atom_site_fract_z
Ac1 Ac 0.000 0.500 0.500
Ac2 Ac 0.500 0.000 0.500
Ac3 Ac 0.500 0.500 0.000
Dy1 Dy 0.000 0.000 0.500
Dy2 Dy 0.000 0.500 0.000
Dy3 Dy 0.500 0.000 0.000
Er1 Er 0.500 0.500 0.500
Te1 Te 0.237 0.746 0.746
Te2 Te 0.241 0.241 0.241
Te3 Te 0.254 0.254 0.763
Te4 Te 0.254 0.763 0.254
Te5 Te 0.746 0.237 0.746
Te6 Te 0.746 0.746 0.237
Te7 Te 0.759 0.759 0.759
Te8 Te 0.763 0.254 0.254
# - SG = R-3m (166)
# - formation energy (no corrections) (eV/atom) = -1.4189



Copy entry 2 word for word.
# Ac3Dy3ErTe8 (PBE-GGA, optimized geometry)
data_Ac3Dy3ErTe8
_chemical_formula_sum 'Ac3 Dy3 Er1 Te8'
_space_group_name_H-M_alt 'P 1'
_space_group_IT_number 1
_space_group_name_Hall 'P 1'
_cell_length_a 9.149
_cell_length_b 9.149
_cell_length_c 9.149
_cell_angle_alpha 58.35
_cell_angle_beta 58.35
_cell_angle_gamma 58.35
loop_
_atom_site_label
_atom_site_type_symbol
_atom_site_fract_x
_atom_site_fract_y
_atom_site_fract_z
Ac1 Ac 0.000 0.500 0.500
Ac2 Ac 0.500 0.000 0.500
Ac3 Ac 0.500 0.500 0.000
Dy1 Dy 0.000 0.000 0.500
Dy2 Dy 0.000 0.500 0.000
Dy3 Dy 0.500 0.000 0.000
Er1 Er 0.500 0.500 0.500
Te1 Te 0.237 0.746 0.746
Te2 Te 0.241 0.241 0.241
Te3 Te 0.254 0.254 0.763
Te4 Te 0.254 0.763 0.254
Te5 Te 0.746 0.237 0.746
Te6 Te 0.746 0.746 0.237
Te7 Te 0.759 0.759 0.759
Te8 Te 0.763 0.254 0.254
# - SG = R-3m (166)
# - formation energy (no corrections) (eV/atom) = -1.4189



The highest formation energy (no corrections) belongs to which entry?
Ac3Dy3ErTe8